1.
The following is a PBE calculation of a geometry-optimized KCu2Rh structure, from Alexandria.

Cell: 2.681 4.265 7.090 Å, 90.00 99.58 90.00°
Sites, in units of the cell vectors:
K1 0.000 0.000 0.000
Cu1 0.245 0.000 0.450
Cu2 0.341 0.500 0.672
Rh1 0.706 0.500 0.366

2.
The following is a PBE calculation of a geometry-optimized KCu2Rh structure, from Alexandria.

Cell: 2.874 3.187 7.919 Å, 90.00 90.00 90.00°
Sites, in units of the cell vectors:
K1 0.000 0.000 0.000
Cu1 0.000 0.000 0.506
Cu2 0.500 0.500 0.662
Rh1 0.500 0.500 0.321

3.
The following is a PBE calculation of a geometry-optimized KCuRh2 structure, from Alexandria.

Cell: 4.557 4.557 6.796 Å, 95.33 95.33 35.54°
Sites, in units of the cell vectors:
K1 0.000 0.000 0.000
Cu1 0.769 0.769 0.334
Rh1 0.236 0.236 0.642
Rh2 0.498 0.498 0.518

4.
The following is a PBE calculation of a geometry-optimized KCu2Rh structure, from Alexandria.

Cell: 4.585 4.585 6.585 Å, 95.26 95.26 34.89°
Sites, in units of the cell vectors:
K1 0.000 0.000 0.000
Cu1 0.233 0.233 0.650
Cu2 0.767 0.767 0.350
Rh1 0.500 0.500 0.500

5.
The following is a PBE calculation of a geometry-optimized KCuRh2 structure, from Alexandria.

Cell: 4.615 4.615 4.615 Å, 120.13 120.13 89.78°
Sites, in units of the cell vectors:
K1 0.000 0.000 0.000
Cu1 0.250 0.750 0.500
Rh1 0.500 0.500 0.000
Rh2 0.750 0.250 0.500

6.
The following is a PBE calculation of a geometry-optimized KCuRh2 structure, from Alexandria.

Cell: 9.882 9.882 9.882 Å, 16.30 16.30 16.30°
Sites, in units of the cell vectors:
K1 0.000 0.000 0.000
Cu1 0.500 0.500 0.500
Rh1 0.237 0.237 0.237
Rh2 0.763 0.763 0.763

7.
The following is a PBE calculation of a geometry-optimized KCu2Rh structure, from Alexandria.

Cell: 4.524 4.524 6.759 Å, 95.87 95.87 35.20°
Sites, in units of the cell vectors:
K1 0.000 0.000 0.000
Cu1 0.229 0.229 0.652
Cu2 0.504 0.504 0.490
Rh1 0.769 0.769 0.349

8.
The following is a PBE calculation of a geometry-optimized KCuRh2 structure, from Alexandria.

Cell: 9.544 9.544 9.544 Å, 152.40 152.40 39.43°
Sites, in units of the cell vectors:
K1 0.000 0.000 0.000
K2 0.750 0.250 0.500
Cu1 0.250 0.750 0.500
Cu2 0.500 0.500 0.000
Rh1 0.280 0.625 0.155
Rh2 0.375 0.530 0.655
Rh3 0.470 0.125 0.845
Rh4 0.875 0.720 0.345

Calculated formation enthalpy at 0 K, 409; 428; 422; 389; 817; 526; 421; 797 meV per atom (same order as the records).
Calculated VASP energy, -15.00; -14.93; -18.21; -15.08; -16.63; -17.79; -14.96; -33.42 eV/cell (same order as the records).
Calculated energy relative to the lowest polymorph listed for this composition, 0.057; 0.076; 0.022; 0.037; 0.417; 0.126; 0.069; 0.397 eV per atom (same order as the records).